# 1
Compound: ZrSbI
Source: the Alexandria database
Functional: GGA-PBE
Structure: relaxed

Geometry as POSCAR:
```
ZrSbI
1.0
-4.302 4.841 2.021
-5.248 -5.059 0.944
2.611 -0.914 7.748
Zr Sb I
4 4 4
Direct
0.523 0.232 0.606
0.977 0.232 0.106
0.477 0.768 0.394
0.023 0.768 0.894
0.714 0.066 0.331
0.286 0.934 0.669
0.214 0.934 0.169
0.786 0.066 0.831
0.250 0.418 0.374
0.750 0.582 0.126
0.750 0.582 0.626
0.250 0.418 0.874
```

Calculated values
Its total DFT energy (no corrections) is -5.141 eV/atom. Its spin magnetization is 0.0000 μB per atom. As for the energy relative to the elements, uncorrected: -401 meV/atom. As for the space-group type: No. 14.


# 2
Compound: NdSm2PaAs4
Source: the Alexandria database
Functional: GGA-PBE
Structure: relaxed

Geometry as POSCAR:
```
NdSm2PaAs4
1.0
-0.139 3.223 -2.684
4.014 -3.771 -4.736
-7.024 -1.310 -1.211
As Nd Sm Pa
4 1 2 1
Direct
0.500 0.742 0.753
0.000 0.741 0.243
0.000 0.259 0.757
0.500 0.258 0.247
0.000 0.000 0.000
0.500 0.000 0.500
0.000 0.500 0.500
0.500 0.500 0.000
```

Calculated values
Its total DFT energy (no corrections) is -6.698 eV/atom. Its spin magnetization is 0.0002 μB per atom. As for the space-group type: No. 10.


# 3
Compound: TcHg2Cl
Source: the Alexandria database
Functional: GGA-PBE
Structure: relaxed

Geometry as POSCAR:
```
TcHg2Cl
1.0
6.227 -0.019 0.000
3.580 5.095 0.000
-4.903 -2.538 2.879
Hg Cl Tc
2 1 1
Direct
0.500 0.500 0.000
0.000 0.000 0.000
0.750 0.250 0.500
0.250 0.750 0.500
```

Calculated values
The value obtained for the offset from the most stable computed form is 471 meV/atom. Its total DFT energy (no corrections) is -2.523 eV/atom. Its spin magnetization is 0.9942 μB per atom. As for the energy relative to the elements, uncorrected: 681 meV/atom. As for the space-group type: No. 139.


# 4
Compound: CdAs2CSe
Source: the Alexandria database
Functional: GGA-PBE
Structure: relaxed

Geometry as POSCAR:
```
CdAs2CSe
1.0
4.474 0.000 0.000
0.000 4.474 0.000
0.000 0.000 4.517
As C Se Cd
2 1 1 1
Direct
0.500 0.000 0.000
0.000 0.500 0.000
0.000 0.000 0.000
0.000 0.000 0.500
0.500 0.500 0.500
```

Calculated values
The value obtained for the offset from the most stable computed form is 38 meV/atom. Its total DFT energy (no corrections) is -3.612 eV/atom. Its spin magnetization is 0.0000 μB per atom. As for the energy relative to the elements, uncorrected: 973 meV/atom. As for the space-group type: No. 123.


# 5
Compound: HfTi4Pb2
Source: the Alexandria database
Functional: GGA-PBE
Structure: relaxed

Geometry as POSCAR:
```
HfTi4Pb2
1.0
-0.952 -2.611 1.426
6.359 -0.994 2.424
-1.573 3.641 5.619
Ti Pb Hf
4 2 1
Direct
0.000 0.301 0.699
0.000 0.301 0.301
0.000 0.699 0.699
0.000 0.699 0.301
0.500 0.500 0.000
0.500 0.000 0.500
0.000 0.000 0.000
```

Calculated values
The value obtained for the offset from the most stable computed form is 305 meV/atom. Its total DFT energy (no corrections) is -6.542 eV/atom. Its spin magnetization is 0.2146 μB per atom. As for the space-group type: No. 123.


# 6
Compound: Pr2InHg8
Source: the Alexandria database
Functional: GGA-PBE
Structure: relaxed

Geometry as POSCAR:
```
Pr2InHg8
1.0
-4.160 0.752 2.215
2.172 -0.436 4.227
2.349 12.692 0.102
Hg Pr In
8 2 1
Direct
0.500 0.000 0.140
0.500 0.000 0.860
0.500 0.500 0.316
0.000 0.500 0.860
0.000 0.500 0.140
0.500 0.500 0.684
0.500 0.000 0.500
0.000 0.500 0.500
0.000 0.000 0.314
0.000 0.000 0.686
0.000 0.000 0.000
```

Calculated values
Its total DFT energy (no corrections) is -1.612 eV/atom. Its spin magnetization is 0.0000 μB per atom. As for the space-group type: No. 123.


> Which of these has the highest total DFT energy (no corrections)?

Pr2InHg8